First-principles (PBE with a Hubbard U) data for a relaxed structure of Cs2TbFe2O6, as listed in Alexandria via LeMat-Bulk.

Cell: 6.2489 6.2489 18.1934 Å, 90.00 90.00 120.00°
Space group R-3m (No. 166, hexagonal axes)
Asymmetric unit:
Cs 0.0000 0.0000 0.2208 x6
Tb 0.0000 0.0000 0.0000 x3
Fe 0.0000 0.0000 0.4222 x6
O 0.0069 0.5034 0.2575 x18

Results
- total magnetization (μB/f.u.) = 7.00
- density of states at the Fermi level (states/eV/atom) = 0.631
- raw total energy (eV/atom) = -5.97
- calculated volume (A^3/atom) = 18.644
- theoretical density (g cm⁻³) = 5.12